No. 1
# Cs2CuTeSe4, relaxed, DFT PBE
# - E_form (uncorrected) (eV per atom) = -0.451
data_Cs2CuTeSe4
_chemical_formula_sum 'Cs16 Cu8 Te8 Se32'
_space_group_name_H-M_alt 'F d d d'
_space_group_IT_number 70
_cell_length_a 6.338
_cell_length_b 15.601
_cell_length_c 24.431
_cell_angle_alpha 90.00
_cell_angle_beta 90.00
_cell_angle_gamma 90.00
loop_
_space_group_symop_operation_xyz
'x,y,z'
'-x,-y,-z'
'-x+1/4,-y+1/4,z'
'x+1/4,y+1/4,-z'
'x,-y+1/4,-z+1/4'
'-x,y+1/4,z+1/4'
'-x+1/4,y,-z+1/4'
'x+1/4,-y,z+1/4'
'x,y+1/2,z+1/2'
'-x,-y+1/2,-z+1/2'
'-x+1/4,-y+3/4,z+1/2'
'x+1/4,y+3/4,-z+1/2'
'x,-y+3/4,-z+3/4'
'-x,y+3/4,z+3/4'
'-x+1/4,y+1/2,-z+3/4'
'x+1/4,-y+1/2,z+3/4'
'x+1/2,y,z+1/2'
'-x+1/2,-y,-z+1/2'
'-x+3/4,-y+1/4,z+1/2'
'x+3/4,y+1/4,-z+1/2'
'x+1/2,-y+1/4,-z+3/4'
'-x+1/2,y+1/4,z+3/4'
'-x+3/4,y,-z+3/4'
'x+3/4,-y,z+3/4'
'x+1/2,y+1/2,z'
'-x+1/2,-y+1/2,-z'
'-x+3/4,-y+3/4,z'
'x+3/4,y+3/4,-z'
'x+1/2,-y+3/4,-z+1/4'
'-x+1/2,y+3/4,z+1/4'
'-x+3/4,y+1/2,-z+1/4'
'x+3/4,-y+1/2,z+1/4'
loop_
_atom_site_label
_atom_site_type_symbol
_atom_site_fract_x
_atom_site_fract_y
_atom_site_fract_z
Cs1 Cs 0.125 0.125 0.302
Cu1 Cu 0.125 0.125 0.125
Te1 Te 0.125 0.125 0.625
Se1 Se 0.103 0.273 0.426

=====

No. 2
# TiIrRu2, relaxed, DFT PBE
# - excess energy over the best structure of this formula in the dataset (meV/atom) = 354
data_TiIrRu2
_chemical_formula_sum 'Ti4 Ir4 Ru8'
_space_group_name_H-M_alt 'F m -3 m'
_space_group_IT_number 225
_space_group_name_Hall '-F 4 2 3'
_cell_length_a 6.173
_cell_length_b 6.173
_cell_length_c 6.173
_cell_angle_alpha 90.00
_cell_angle_beta 90.00
_cell_angle_gamma 90.00
loop_
_atom_site_label
_atom_site_type_symbol
_atom_site_fract_x
_atom_site_fract_y
_atom_site_fract_z
Ti1 Ti 0.000 0.000 0.000
Ir1 Ir 0.000 0.000 0.500
Ru1 Ru 0.250 0.250 0.250

=====

No. 3
# Tb3Pr3YTe8, relaxed, DFT PBE
# - E_form (uncorrected) (eV per atom) = -1.426
data_Tb3Pr3YTe8
_chemical_formula_sum 'Tb9 Pr9 Y3 Te24'
_space_group_name_H-M_alt 'R -3 m'
_space_group_IT_number 166
_space_group_name_Hall '-R 3 2"'
_cell_length_a 8.8398
_cell_length_b 8.8398
_cell_length_c 21.8571
_cell_angle_alpha 90.00
_cell_angle_beta 90.00
_cell_angle_gamma 120.00
loop_
_atom_site_label
_atom_site_type_symbol
_atom_site_fract_x
_atom_site_fract_y
_atom_site_fract_z
Tb1 Tb 0.0000 0.5000 0.0000
Pr1 Pr 0.0000 0.5000 0.5000
Y1 Y 0.0000 0.0000 0.0000
Te1 Te 0.0000 0.0000 0.2541
Te2 Te 0.0077 0.5038 0.2522

=====

No. 4
# Hg2PbSe, relaxed, DFT PBE
# - E_form (uncorrected) (eV per atom) = -0.144
data_Hg2PbSe
_chemical_formula_sum 'Hg2 Pb1 Se1'
_space_group_name_H-M_alt 'P 4 m m'
_space_group_IT_number 99
_cell_length_a 3.840
_cell_length_b 3.840
_cell_length_c 8.252
_cell_angle_alpha 90.00
_cell_angle_beta 90.00
_cell_angle_gamma 90.00
loop_
_space_group_symop_operation_xyz
'x,y,z'
'-y,x,z'
'-x,-y,z'
'y,-x,z'
'-x,y,z'
'y,x,z'
'x,-y,z'
'-y,-x,z'
loop_
_atom_site_label
_atom_site_type_symbol
_atom_site_fract_x
_atom_site_fract_y
_atom_site_fract_z
Hg1 Hg 0.000 0.000 0.000
Hg2 Hg 0.500 0.500 0.233
Pb1 Pb 0.000 0.000 0.556
Se1 Se 0.500 0.500 0.709

=====

No. 5
# CaTbH, relaxed, DFT PBE
# - excess energy over the best structure of this formula in the dataset (meV/atom) = 0
data_CaTbH
_chemical_formula_sum 'Ca2 Tb2 H2'
_space_group_name_H-M_alt 'P 1 21/m 1'
_space_group_IT_number 11
_cell_length_a 5.419
_cell_length_b 3.722
_cell_length_c 7.467
_cell_angle_alpha 90.00
_cell_angle_beta 91.39
_cell_angle_gamma 90.00
loop_
_space_group_symop_operation_xyz
'x,y,z'
'-x,-y,-z'
'-x,y+1/2,-z'
'x,-y+1/2,z'
loop_
_atom_site_label
_atom_site_type_symbol
_atom_site_fract_x
_atom_site_fract_y
_atom_site_fract_z
Ca1 Ca 0.243 0.250 0.364
Tb1 Tb 0.238 0.250 0.888
H1 H 0.015 0.750 0.888

=====

No. 6
# CePaPSe, relaxed, DFT PBE
# - E_form (uncorrected) (eV per atom) = -1.404
data_CePaPSe
_chemical_formula_sum 'Ce3 Pa3 P3 Se3'
_space_group_name_H-M_alt 'R 3 m'
_space_group_IT_number 160
_space_group_name_Hall 'R 3 -2"'
_cell_length_a 3.9476
_cell_length_b 3.9476
_cell_length_c 21.7095
_cell_angle_alpha 90.00
_cell_angle_beta 90.00
_cell_angle_gamma 120.00
loop_
_atom_site_label
_atom_site_type_symbol
_atom_site_fract_x
_atom_site_fract_y
_atom_site_fract_z
Ce1 Ce 0.0000 0.0000 0.0000
Pa1 Pa 0.0000 0.0000 0.1843
P1 P 0.0000 0.0000 0.5895
Se1 Se 0.0000 0.0000 0.7634

=====

No. 7
# Sr2NdNpS6, relaxed, DFT PBE
# - E_form (uncorrected) (eV per atom) = -1.733
data_Sr2NdNpS6
_chemical_formula_sum 'Sr4 Nd2 Np2 S12'
_space_group_name_H-M_alt 'P 1 21/c 1'
_space_group_IT_number 14
_cell_length_a 7.008
_cell_length_b 7.510
_cell_length_c 12.361
_cell_angle_alpha 90.00
_cell_angle_beta 124.21
_cell_angle_gamma 90.00
loop_
_space_group_symop_operation_xyz
'x,y,z'
'-x,-y,-z'
'-x,y+1/2,-z+1/2'
'x,-y+1/2,z+1/2'
loop_
_atom_site_label
_atom_site_type_symbol
_atom_site_fract_x
_atom_site_fract_y
_atom_site_fract_z
Sr1 Sr 0.222 0.080 0.250
Nd1 Nd 0.500 0.000 0.000
Np1 Np 0.000 0.000 0.500
S1 S 0.113 0.205 0.934
S2 S 0.237 0.686 0.938
S3 S 0.360 0.042 0.739

=====

No. 8
# Pr4Ho2In, relaxed, DFT PBE
# - final energy (eV/atom) = -4.457
data_Pr4Ho2In
_chemical_formula_sum 'Pr12 Ho6 In3'
_space_group_name_H-M_alt 'R -3 m'
_space_group_IT_number 166
_space_group_name_Hall '-R 3 2"'
_cell_length_a 5.6763
_cell_length_b 5.6763
_cell_length_c 24.4389
_cell_angle_alpha 90.00
_cell_angle_beta 90.00
_cell_angle_gamma 120.00
loop_
_atom_site_label
_atom_site_type_symbol
_atom_site_fract_x
_atom_site_fract_y
_atom_site_fract_z
Pr1 Pr 0.0000 0.0000 0.0681
Pr2 Pr 0.0000 0.0000 0.2118
Ho1 Ho 0.0000 0.0000 0.3585
In1 In 0.0000 0.0000 0.5000

=====

No. 9
# CaNd2RuO6, relaxed, DFT PBE
# - E_form (uncorrected) (eV per atom) = -2.553
data_CaNd2RuO6
_chemical_formula_sum 'Ca2 Nd4 Ru2 O12'
_space_group_name_H-M_alt 'P 1 21/c 1'
_space_group_IT_number 14
_cell_length_a 5.620
_cell_length_b 5.964
_cell_length_c 9.826
_cell_angle_alpha 90.00
_cell_angle_beta 124.12
_cell_angle_gamma 90.00
loop_
_space_group_symop_operation_xyz
'x,y,z'
'-x,-y,-z'
'-x,y+1/2,-z+1/2'
'x,-y+1/2,z+1/2'
loop_
_atom_site_label
_atom_site_type_symbol
_atom_site_fract_x
_atom_site_fract_y
_atom_site_fract_z
Ca1 Ca 0.000 0.000 0.000
Nd1 Nd 0.271 0.066 0.749
Ru1 Ru 0.500 0.000 0.500
O1 O 0.145 0.051 0.269
O2 O 0.266 0.683 0.058
O3 O 0.394 0.212 0.069

=====

No. 10
# Mg8Ir2Rh, relaxed, DFT PBE
# - final energy (eV/atom) = -3.764
data_Mg8Ir2Rh
_chemical_formula_sum 'Mg16 Ir4 Rh2'
_space_group_name_H-M_alt 'C 1 2/m 1'
_space_group_IT_number 12
_cell_length_a 14.389
_cell_length_b 4.393
_cell_length_c 7.200
_cell_angle_alpha 90.00
_cell_angle_beta 120.02
_cell_angle_gamma 90.00
loop_
_space_group_symop_operation_xyz
'x,y,z'
'-x,-y,-z'
'-x,y,-z'
'x,-y,z'
'x+1/2,y+1/2,z'
'-x+1/2,-y+1/2,-z'
'-x+1/2,y+1/2,-z'
'x+1/2,-y+1/2,z'
loop_
_atom_site_label
_atom_site_type_symbol
_atom_site_fract_x
_atom_site_fract_y
_atom_site_fract_z
Mg1 Mg 0.001 0.000 0.191
Mg2 Mg 0.147 0.000 0.648
Mg3 Mg 0.155 0.500 0.938
Mg4 Mg 0.157 0.500 0.375
Ir1 Ir 0.194 0.000 0.193
Rh1 Rh 0.000 0.500 0.500

=====

No. 11
# Rb2GaBrF6, relaxed, DFT PBE
# - E_form (uncorrected) (eV per atom) = -2.273
data_Rb2GaBrF6
_chemical_formula_sum 'Rb4 Ga2 Br2 F12'
_space_group_name_H-M_alt 'I 4/m m m'
_space_group_IT_number 139
_space_group_name_Hall '-I 4 2'
_cell_length_a 6.953
_cell_length_b 6.953
_cell_length_c 8.152
_cell_angle_alpha 90.00
_cell_angle_beta 90.00
_cell_angle_gamma 90.00
loop_
_atom_site_label
_atom_site_type_symbol
_atom_site_fract_x
_atom_site_fract_y
_atom_site_fract_z
Rb1 Rb 0.000 0.500 0.250
Ga1 Ga 0.000 0.000 0.000
Br1 Br 0.000 0.000 0.500
F1 F 0.000 0.000 0.255
F2 F 0.190 0.190 0.000

=====

No. 12
# SrTlGa2B, relaxed, DFT PBE
# - final energy (eV/atom) = -3.097
data_SrTlGa2B
_chemical_formula_sum 'Sr1 Tl1 Ga2 B1'
_space_group_name_H-M_alt 'P 4/m m m'
_space_group_IT_number 123
_space_group_name_Hall '-P 4 2'
_cell_length_a 4.537
_cell_length_b 4.537
_cell_length_c 5.428
_cell_angle_alpha 90.00
_cell_angle_beta 90.00
_cell_angle_gamma 90.00
loop_
_atom_site_label
_atom_site_type_symbol
_atom_site_fract_x
_atom_site_fract_y
_atom_site_fract_z
Sr1 Sr 0.000 0.000 0.000
Tl1 Tl 0.500 0.500 0.000
Ga1 Ga 0.000 0.500 0.500
B1 B 0.000 0.000 0.500

=====

No. 13
# Li2As7Rh12, relaxed, DFT PBE
# - final energy (eV/atom) = -6.454
data_Li2As7Rh12
_chemical_formula_sum 'Li2 As7 Rh12'
_space_group_name_H-M_alt 'P -6'
_space_group_IT_number 174
_cell_length_a 9.9582
_cell_length_b 9.9582
_cell_length_c 3.8130
_cell_angle_alpha 90.00
_cell_angle_beta 90.00
_cell_angle_gamma 120.00
loop_
_space_group_symop_operation_xyz
'x,y,z'
'-x+y,-x,-z'
'-y,x-y,z'
'x,y,-z'
'-x+y,-x,z'
'-y,x-y,-z'
loop_
_atom_site_label
_atom_site_type_symbol
_atom_site_fract_x
_atom_site_fract_y
_atom_site_fract_z
Li1 Li 0.0000 0.0000 0.0000
Li2 Li 0.3333 0.6667 0.5000
As1 As 0.0762 0.4552 0.0000
As2 As 0.2553 0.2138 0.5000
As3 As 0.6667 0.3333 0.0000
Rh1 Rh 0.0500 0.2735 0.5000
Rh2 Rh 0.1132 0.7134 0.0000
Rh3 Rh 0.3942 0.1794 0.0000
Rh4 Rh 0.5263 0.4396 0.5000

=====

No. 14
# SmTmGaRh, relaxed, DFT PBE
# - excess energy over the best structure of this formula in the dataset (meV/atom) = 70
data_SmTmGaRh
_chemical_formula_sum 'Sm4 Tm4 Ga4 Rh4'
_space_group_name_H-M_alt 'F -4 3 m'
_space_group_IT_number 216
_space_group_name_Hall 'F -4 2 3'
_cell_length_a 7.049
_cell_length_b 7.049
_cell_length_c 7.049
_cell_angle_alpha 90.00
_cell_angle_beta 90.00
_cell_angle_gamma 90.00
loop_
_atom_site_label
_atom_site_type_symbol
_atom_site_fract_x
_atom_site_fract_y
_atom_site_fract_z
Sm1 Sm 0.000 0.000 0.000
Tm1 Tm 0.000 0.000 0.500
Ga1 Ga 0.250 0.250 0.250
Rh1 Rh 0.250 0.250 0.750

=====

No. 15
# Sm2ZnCd16, relaxed, DFT PBE
# - final energy (eV/atom) = -1.464
data_Sm2ZnCd16
_chemical_formula_sum 'Sm6 Zn3 Cd48'
_space_group_name_H-M_alt 'R 3 m'
_space_group_IT_number 160
_space_group_name_Hall 'R 3 -2"'
_cell_length_a 10.0433
_cell_length_b 10.0433
_cell_length_c 14.9011
_cell_angle_alpha 90.00
_cell_angle_beta 90.00
_cell_angle_gamma 120.00
loop_
_atom_site_label
_atom_site_type_symbol
_atom_site_fract_x
_atom_site_fract_y
_atom_site_fract_z
Sm1 Sm 0.0000 0.0000 0.0000
Sm2 Sm 0.0000 0.0000 0.3477
Zn1 Zn 0.0000 0.0000 0.5803
Cd1 Cd 0.0000 0.0000 0.7677
Cd2 Cd 0.0007 0.3036 0.6757
Cd3 Cd 0.0270 0.5135 0.5282
Cd4 Cd 0.0432 0.5216 0.1710
Cd5 Cd 0.0620 0.5310 0.8298

=====

No. 16
# BeOs2Rh, relaxed, DFT PBE
# - final energy (eV/atom) = -8.223
data_BeOs2Rh
_chemical_formula_sum 'Be2 Os4 Rh2'
_space_group_name_H-M_alt 'I 4/m m m'
_space_group_IT_number 139
_space_group_name_Hall '-I 4 2'
_cell_length_a 3.672
_cell_length_b 3.672
_cell_length_c 7.866
_cell_angle_alpha 90.00
_cell_angle_beta 90.00
_cell_angle_gamma 90.00
loop_
_atom_site_label
_atom_site_type_symbol
_atom_site_fract_x
_atom_site_fract_y
_atom_site_fract_z
Be1 Be 0.000 0.000 0.000
Os1 Os 0.000 0.500 0.250
Rh1 Rh 0.000 0.000 0.500

=====

No. 17
# PmPaIn2, relaxed, DFT PBE
# - excess energy over the best structure of this formula in the dataset (meV/atom) = 0
data_PmPaIn2
_chemical_formula_sum 'Pm1 Pa1 In2'
_space_group_name_H-M_alt 'P 4/m m m'
_space_group_IT_number 123
_space_group_name_Hall '-P 4 2'
_cell_length_a 3.370
_cell_length_b 3.370
_cell_length_c 9.294
_cell_angle_alpha 90.00
_cell_angle_beta 90.00
_cell_angle_gamma 90.00
loop_
_atom_site_label
_atom_site_type_symbol
_atom_site_fract_x
_atom_site_fract_y
_atom_site_fract_z
Pm1 Pm 0.000 0.000 0.000
Pa1 Pa 0.000 0.000 0.500
In1 In 0.500 0.500 0.254

=====

No. 18
# TaAgP2, relaxed, DFT PBE
# - excess energy over the best structure of this formula in the dataset (meV/atom) = 345
data_TaAgP2
_chemical_formula_sum 'Ta4 Ag4 P8'
_space_group_name_H-M_alt 'F m -3 m'
_space_group_IT_number 225
_space_group_name_Hall '-F 4 2 3'
_cell_length_a 6.338
_cell_length_b 6.338
_cell_length_c 6.338
_cell_angle_alpha 90.00
_cell_angle_beta 90.00
_cell_angle_gamma 90.00
loop_
_atom_site_label
_atom_site_type_symbol
_atom_site_fract_x
_atom_site_fract_y
_atom_site_fract_z
Ta1 Ta 0.000 0.000 0.000
Ag1 Ag 0.000 0.000 0.500
P1 P 0.250 0.250 0.250

=====

No. 19
# Cs2ZrIF6, relaxed, DFT PBE
# - E_form (uncorrected) (eV per atom) = -2.869
data_Cs2ZrIF6
_chemical_formula_sum 'Cs4 Zr2 I2 F12'
_space_group_name_H-M_alt 'I 4/m m m'
_space_group_IT_number 139
_space_group_name_Hall '-I 4 2'
_cell_length_a 7.562
_cell_length_b 7.562
_cell_length_c 9.599
_cell_angle_alpha 90.00
_cell_angle_beta 90.00
_cell_angle_gamma 90.00
loop_
_atom_site_label
_atom_site_type_symbol
_atom_site_fract_x
_atom_site_fract_y
_atom_site_fract_z
Cs1 Cs 0.000 0.500 0.250
Zr1 Zr 0.000 0.000 0.000
I1 I 0.000 0.000 0.500
F1 F 0.000 0.000 0.213
F2 F 0.190 0.190 0.000

=====

No. 20
# AgSn2Cl, relaxed, DFT PBE
# - excess energy over the best structure of this formula in the dataset (meV/atom) = 0
# - E_form (uncorrected) (eV per atom) = 0.007
data_AgSn2Cl
_chemical_formula_sum 'Ag4 Sn8 Cl4'
_space_group_name_H-M_alt 'F m -3 m'
_space_group_IT_number 225
_space_group_name_Hall '-F 4 2 3'
_cell_length_a 7.215
_cell_length_b 7.215
_cell_length_c 7.215
_cell_angle_alpha 90.00
_cell_angle_beta 90.00
_cell_angle_gamma 90.00
loop_
_atom_site_label
_atom_site_type_symbol
_atom_site_fract_x
_atom_site_fract_y
_atom_site_fract_z
Ag1 Ag 0.000 0.000 0.000
Sn1 Sn 0.250 0.250 0.250
Cl1 Cl 0.000 0.000 0.500

=====

No. 21
# InGeO2, relaxed, DFT PBE
# - excess energy over the best structure of this formula in the dataset (meV/atom) = 689
# - E_form (uncorrected) (eV per atom) = -0.406
data_InGeO2
_chemical_formula_sum 'In4 Ge4 O8'
_space_group_name_H-M_alt 'F m -3 m'
_space_group_IT_number 225
_space_group_name_Hall '-F 4 2 3'
_cell_length_a 5.957
_cell_length_b 5.957
_cell_length_c 5.957
_cell_angle_alpha 90.00
_cell_angle_beta 90.00
_cell_angle_gamma 90.00
loop_
_atom_site_label
_atom_site_type_symbol
_atom_site_fract_x
_atom_site_fract_y
_atom_site_fract_z
In1 In 0.000 0.000 0.000
Ge1 Ge 0.000 0.000 0.500
O1 O 0.250 0.250 0.250

=====

No. 22
# MgBeAl2Sn, relaxed, DFT PBE
# - final energy (eV/atom) = -3.081
data_MgBeAl2Sn
_chemical_formula_sum 'Mg1 Be1 Al2 Sn1'
_space_group_name_H-M_alt 'P 4/m m m'
_space_group_IT_number 123
_space_group_name_Hall '-P 4 2'
_cell_length_a 4.411
_cell_length_b 4.411
_cell_length_c 5.034
_cell_angle_alpha 90.00
_cell_angle_beta 90.00
_cell_angle_gamma 90.00
loop_
_atom_site_label
_atom_site_type_symbol
_atom_site_fract_x
_atom_site_fract_y
_atom_site_fract_z
Mg1 Mg 0.000 0.000 0.000
Be1 Be 0.000 0.000 0.500
Al1 Al 0.000 0.500 0.500
Sn1 Sn 0.500 0.500 0.000

=====

No. 23
# KLaO2, relaxed, DFT PBE
# - E_form (uncorrected) (eV per atom) = -2.544
data_KLaO2
_chemical_formula_sum 'K4 La4 O8'
_space_group_name_H-M_alt 'I -4 2 d'
_space_group_IT_number 122
_space_group_name_Hall 'I -4 2bw'
_cell_length_a 6.077
_cell_length_b 6.077
_cell_length_c 10.391
_cell_angle_alpha 90.00
_cell_angle_beta 90.00
_cell_angle_gamma 90.00
loop_
_atom_site_label
_atom_site_type_symbol
_atom_site_fract_x
_atom_site_fract_y
_atom_site_fract_z
K1 K 0.000 0.000 0.000
La1 La 0.000 0.000 0.500
O1 O 0.184 0.250 0.625